Material: LaBeTeO2
Method: DFT, GGA-PBE
State: optimized geometry

Geometry as POSCAR:
```
LaBeTeO2
1.0
4.335 0.000 0.000
0.000 4.335 0.000
0.000 0.000 4.476
La Be Te O
1 1 1 2
direct
0.000 0.000 0.000
0.500 0.500 0.000
0.500 0.500 0.500
0.000 0.500 0.500
0.500 0.000 0.500
```

Its formation energy without anion corrections is -640 meV per atom. The calculation puts the final energy at -24.91 eV/cell.